No. 1
This record from Alexandria via LeMat-Bulk describes a relaxed structure of Li2MgSc. The functional is GGA-PBE.

- Total magnetic moment: 0.2243 μB per atom
- Formation energy from the elements: 149 meV per atom
- Symmetry: No. 216

Cell: 4.9617 4.9617 4.9617 Å, 60.00 60.00 60.00°
Atoms (fractional coordinates):
1 Li 0.0000 0.0000 0.0000
2 Li 0.2500 0.2500 0.2500
3 Mg 0.5000 0.5000 0.5000
4 Sc 0.7500 0.7500 0.7500



No. 2
This record from Alexandria via LeMat-Bulk describes a relaxed structure of LiMg2Sc. The functional is GGA-PBE.

- Total magnetic moment: 0.0000 μB per atom
- Formation energy from the elements: 37 meV per atom
- Energy above the most stable polymorph in this dataset: 0.071 eV/atom
- Symmetry: No. 8

Cell: 5.4217 5.4217 5.5563 Å, 97.75 97.75 33.95°
Atoms (fractional coordinates):
1 Li 0.0000 0.0000 0.0000
2 Mg 0.2543 0.2543 0.7596
3 Mg 0.5048 0.5048 0.5025
4 Sc 0.7557 0.7557 0.2592



No. 3
This record from Alexandria via LeMat-Bulk describes a relaxed structure of Li2MgSc2. The functional is GGA-PBE.

- Total magnetic moment: 0.3646 μB per atom
- Formation energy from the elements: 182 meV per atom
- Energy above the most stable polymorph in this dataset: 0.000 eV/atom
- Symmetry: No. 127

Cell: 6.7960 6.7960 4.6619 Å, 90.00 90.00 90.00°
Atoms (fractional coordinates):
1 Li 0.1244 0.3756 0.0000
2 Li 0.3756 0.8756 0.0000
3 Li 0.6244 0.1244 0.0000
4 Li 0.8756 0.6244 0.0000
5 Mg 0.0000 0.0000 0.0000
6 Mg 0.5000 0.5000 0.0000
7 Sc 0.1794 0.6794 0.5000
8 Sc 0.3206 0.1794 0.5000
9 Sc 0.6794 0.8206 0.5000
10 Sc 0.8206 0.3206 0.5000



No. 4
This record from Alexandria via LeMat-Bulk describes a relaxed structure of Li2MgSc. The functional is GGA-PBE.

- Total magnetic moment: 0.0307 μB per atom
- Formation energy from the elements: 75 meV per atom
- Symmetry: No. 166

Cell: 10.6348 10.6348 10.6348 Å, 16.82 16.82 16.82°
Atoms (fractional coordinates):
1 Li 0.2487 0.2487 0.2487
2 Li 0.7513 0.7513 0.7513
3 Mg 0.5000 0.5000 0.5000
4 Sc 0.0000 0.0000 0.0000



No. 5
This record from Alexandria via LeMat-Bulk describes a relaxed structure of LiMgSc. The functional is GGA-PBE.

- Total magnetic moment: 0.0549 μB per atom
- Formation energy from the elements: -30 meV per atom
- Energy above the most stable polymorph in this dataset: 0.000 eV/atom
- Symmetry: No. 12

Cell: 3.2755 3.2755 12.3135 Å, 90.09 90.09 89.97°
Atoms (fractional coordinates):
1 Li 0.2488 0.2488 0.0714
2 Li 0.7512 0.7512 0.9286
3 Mg 0.2526 0.2526 0.7742
4 Mg 0.7474 0.7474 0.2258
5 Sc 0.2490 0.2490 0.4084
6 Sc 0.7510 0.7510 0.5916



No. 6
This record from Alexandria via LeMat-Bulk describes a relaxed structure of LiMg2Sc. The functional is GGA-PBE.

- Total magnetic moment: 0.0000 μB per atom
- Formation energy from the elements: 10 meV per atom
- Energy above the most stable polymorph in this dataset: 0.045 eV/atom
- Symmetry: No. 6

Cell: 3.2408 5.1994 5.4045 Å, 90.00 90.07 90.00°
Atoms (fractional coordinates):
1 Li 0.0000 0.0000 0.0000
2 Mg 0.5055 0.0000 0.4999
3 Mg 0.5061 0.5000 0.1379
4 Sc 0.0056 0.5000 0.6303



No. 7
This record from Alexandria via LeMat-Bulk describes a relaxed structure of LiMg2Sc. The functional is GGA-PBE.

- Total magnetic moment: 0.0000 μB per atom
- Formation energy from the elements: 20 meV per atom
- Energy above the most stable polymorph in this dataset: 0.054 eV/atom
- Symmetry: No. 216

Cell: 4.9605 4.9605 4.9605 Å, 60.00 60.00 60.00°
Atoms (fractional coordinates):
1 Li 0.0000 0.0000 0.0000
2 Mg 0.5000 0.5000 0.5000
3 Mg 0.7500 0.7500 0.7500
4 Sc 0.2500 0.2500 0.2500



No. 8
This record from Alexandria via LeMat-Bulk describes a relaxed structure of LiMg2Sc. The functional is GGA-PBE.

- Total magnetic moment: 0.0851 μB per atom
- Formation energy from the elements: 63 meV per atom
- Energy above the most stable polymorph in this dataset: 0.097 eV/atom
- Symmetry: No. 47

Cell: 3.5672 4.9818 5.0158 Å, 90.00 90.00 90.00°
Atoms (fractional coordinates):
1 Li 0.0000 0.0000 0.0000
2 Mg 0.0000 0.5000 0.5000
3 Mg 0.5000 0.0000 0.5000
4 Sc 0.5000 0.5000 0.0000



No. 9
This record from Alexandria via LeMat-Bulk describes a relaxed structure of Li2MgSc. The functional is GGA-PBE.

- Total magnetic moment: 0.0661 μB per atom
- Formation energy from the elements: 47 meV per atom
- Symmetry: No. 99

Cell: 3.3700 3.3700 7.4536 Å, 90.00 90.00 90.00°
Atoms (fractional coordinates):
1 Li 0.0000 0.0000 0.0000
2 Li 0.5000 0.5000 0.2141
3 Mg 0.0000 0.0000 0.4528
4 Sc 0.5000 0.5000 0.7281



No. 10
This record from Alexandria via LeMat-Bulk describes a relaxed structure of Li3Mg12Sc. The functional is GGA-PBE.

- Total magnetic moment: 0.0000 μB per atom
- Formation energy from the elements: -28 meV per atom
- Symmetry: No. 123

Cell: 4.4237 4.4237 18.1452 Å, 90.00 90.00 90.00°
Atoms (fractional coordinates):
1 Li 0.0000 0.0000 0.0000
2 Li 0.0000 0.0000 0.2487
3 Li 0.0000 0.0000 0.7513
4 Mg 0.0000 0.5000 0.1230
5 Mg 0.0000 0.5000 0.3719
6 Mg 0.0000 0.5000 0.6281
7 Mg 0.0000 0.5000 0.8770
8 Mg 0.5000 0.0000 0.1230
9 Mg 0.5000 0.0000 0.3719
10 Mg 0.5000 0.0000 0.6281
11 Mg 0.5000 0.0000 0.8770
12 Mg 0.5000 0.5000 0.0000
13 Mg 0.5000 0.5000 0.2453
14 Mg 0.5000 0.5000 0.5000
15 Mg 0.5000 0.5000 0.7547
16 Sc 0.0000 0.0000 0.5000



No. 11
This record from Alexandria via LeMat-Bulk describes a relaxed structure of LiMg4Sc2. The functional is GGA-PBE.

- Total magnetic moment: 0.1263 μB per atom
- Formation energy from the elements: 42 meV per atom
- Symmetry: No. 65

Cell: 15.8761 15.8761 3.1573 Å, 90.00 90.00 168.49°
Atoms (fractional coordinates):
1 Li 0.0000 0.0000 0.0000
2 Mg 0.1338 0.8662 0.0000
3 Mg 0.4374 0.5626 0.5000
4 Mg 0.5626 0.4374 0.5000
5 Mg 0.8662 0.1338 0.0000
6 Sc 0.2929 0.7071 0.5000
7 Sc 0.7071 0.2929 0.5000



No. 12
This record from Alexandria via LeMat-Bulk describes a relaxed structure of LiMg3Sc. The functional is GGA-PBE.

- Total magnetic moment: 0.0000 μB per atom
- Formation energy from the elements: 245 meV per atom
- Energy above the most stable polymorph in this dataset: 0.264 eV/atom
- Symmetry: No. 221

Cell: 4.8127 4.8127 4.8127 Å, 90.00 90.00 90.00°
Atoms (fractional coordinates):
1 Li 0.0000 0.0000 0.0000
2 Mg 0.0000 0.0000 0.5000
3 Mg 0.0000 0.5000 0.0000
4 Mg 0.5000 0.0000 0.0000
5 Sc 0.5000 0.5000 0.5000